Mn2TcW | PBE-GGA | relaxed

abc: 8.762 8.762 8.762
angles: 17.61 17.61 17.61
Last column: magnetic moment on the atom in μB.
Positions (direct):
Mn (0.993, 0.993, 0.993)  0.81
Mn (0.254, 0.254, 0.254)  0.09
Tc (0.507, 0.507, 0.507)  0.04
W (0.746, 0.746, 0.746)  -0.03

The calculation puts the magnetization at 0.2343 μB/atom. As for the space group: R3m, No. 160. As for the formation enthalpy at 0 K: 0.289 eV per atom.